A relaxed structure of Pu6AgPd6. Source: Alexandria, functional PBE.

Computed properties:
* crystal system: orthorhombic
* total DFT energy (no corrections): -123.957 eV/cell
* DFT formation energy: -0.304 eV per atom
* size of the total moment: 0.963 μB per atom

Cell: 5.710 7.665 7.665 Å, 83.92 68.13 68.13°
Atoms (fractional coordinates):
Pu 0.661 0.839 0.839
Pd 0.500 0.000 0.500
Pd 0.500 0.744 0.256
Pu 0.674 0.326 0.326
Pu 0.000 0.311 0.689
Pd 0.000 0.000 0.500
Pu 0.339 0.161 0.161
Pd 0.000 0.500 0.000
Pu 0.326 0.674 0.674
Ag 0.000 0.000 0.000
Pu 0.000 0.689 0.311
Pd 0.500 0.500 0.000
Pd 0.500 0.256 0.744